## Ca2AcPb2 (PBE)

Data for a relaxed Ca2AcPb2 crystal.

* calculated total energy: -3.5383 eV per atom

Unit cell a=7.892 b=7.892 c=4.984 alpha=108.19 beta=108.19 gamma=36.82
Element x y z (fractional)
Ca  0.250  0.250  0.250
Ca  0.750  0.750  0.750
Ac  0.000  0.000  0.500
Pb  0.394  0.394  0.891
Pb  0.606  0.606  0.109


## K3TlAg2Cl9 (PBE)

Data for a relaxed K3TlAg2Cl9 crystal.

* calculated total energy: -2.9648 eV per atom

Unit cell a=7.389 b=7.389 c=9.145 alpha=90.00 beta=90.00 gamma=120.00
Element x y z (fractional)
K  0.000  0.000  0.000
K  0.333  0.667  0.708
K  0.667  0.333  0.292
Tl  0.000  0.000  0.500
Ag  0.333  0.667  0.161
Ag  0.667  0.333  0.839
Cl  0.000  0.500  0.000
Cl  0.166  0.332  0.329
Cl  0.166  0.834  0.329
Cl  0.332  0.166  0.671
Cl  0.500  0.000  0.000
Cl  0.500  0.500  0.000
Cl  0.668  0.834  0.329
Cl  0.834  0.166  0.671
Cl  0.834  0.668  0.671


## K2AlB2 (PBE)

Data for a relaxed K2AlB2 crystal.

* offset from the most stable computed form: 0.000 eV/atom
* calculated total energy: -2.8084 eV per atom

Unit cell a=11.534 b=11.534 c=11.534 alpha=165.60 beta=165.60 gamma=20.42
Element x y z (fractional)
K  0.131  0.131  0.000
K  0.869  0.869  0.000
Al  0.500  0.500  0.000
B  0.250  0.750  0.500
B  0.750  0.250  0.500


## Hf2Zr2V (PBE)

Data for a relaxed Hf2Zr2V crystal.

* calculated total energy: -8.8533 eV per atom

Unit cell a=6.627 b=6.627 c=4.914 alpha=90.00 beta=90.00 gamma=90.00
Element x y z (fractional)
Hf  0.163  0.337  0.000
Hf  0.337  0.837  0.000
Hf  0.663  0.163  0.000
Hf  0.837  0.663  0.000
Zr  0.152  0.652  0.500
Zr  0.348  0.152  0.500
Zr  0.652  0.848  0.500
Zr  0.848  0.348  0.500
V  0.000  0.000  0.500
V  0.500  0.500  0.500


## CsH3Pb (PBE)

Data for a relaxed CsH3Pb crystal.

* offset from the most stable computed form: 0.000 eV/atom
* calculated total energy: -2.9349 eV per atom

Unit cell a=6.867 b=7.399 c=9.198 alpha=90.00 beta=91.12 gamma=90.00
Element x y z (fractional)
Cs  0.156  0.242  0.212
Cs  0.156  0.258  0.712
Cs  0.844  0.742  0.288
Cs  0.844  0.758  0.788
H  0.135  0.617  0.544
H  0.135  0.883  0.044
H  0.193  0.551  0.947
H  0.193  0.949  0.447
H  0.297  0.635  0.220
H  0.297  0.865  0.720
H  0.703  0.135  0.280
H  0.703  0.365  0.780
H  0.807  0.051  0.553
H  0.807  0.449  0.053
H  0.865  0.117  0.956
H  0.865  0.383  0.456
Pb  0.359  0.732  0.031
Pb  0.359  0.768  0.531
Pb  0.641  0.232  0.469
Pb  0.641  0.268  0.969


## YZr2Ru (PBE)

Data for a relaxed YZr2Ru crystal.

* offset from the most stable computed form: 0.259 eV/atom
* calculated total energy: -8.2189 eV per atom

Unit cell a=9.586 b=9.586 c=9.586 alpha=20.29 beta=20.29 gamma=20.29
Element x y z (fractional)
Y  0.000  0.000  0.000
Zr  0.233  0.233  0.233
Zr  0.767  0.767  0.767
Ru  0.500  0.500  0.500


## CeMg3Sn3 (PBE)

Data for a relaxed CeMg3Sn3 crystal.

* calculated total energy: -3.5073 eV per atom

Unit cell a=9.131 b=9.131 c=4.861 alpha=90.00 beta=90.00 gamma=120.00
Element x y z (fractional)
Ce  0.333  0.667  0.250
Ce  0.667  0.333  0.750
Mg  0.042  0.814  0.250
Mg  0.186  0.227  0.250
Mg  0.227  0.042  0.750
Mg  0.773  0.958  0.250
Mg  0.814  0.773  0.750
Mg  0.958  0.186  0.750
Sn  0.080  0.646  0.750
Sn  0.354  0.434  0.750
Sn  0.434  0.080  0.250
Sn  0.566  0.920  0.750
Sn  0.646  0.566  0.250
Sn  0.920  0.354  0.250


## Ac6Ge3AsS2 (PBE)

Data for a relaxed Ac6Ge3AsS2 crystal.

* calculated total energy: -5.5390 eV per atom

Unit cell a=10.125 b=10.125 c=9.076 alpha=103.52 beta=103.52 gamma=25.66
Element x y z (fractional)
Ac  0.001  0.001  0.249
Ac  0.333  0.333  0.418
Ac  0.333  0.333  0.917
Ac  0.667  0.667  0.083
Ac  0.667  0.667  0.582
Ac  0.999  0.999  0.751
Ge  0.167  0.167  0.829
Ge  0.500  0.500  0.500
Ge  0.833  0.833  0.171
As  0.500  0.500  0.000
S  0.168  0.168  0.334
S  0.832  0.832  0.666


## Ho2MgTe4 (PBE)

Data for a relaxed Ho2MgTe4 crystal.

* calculated total energy: -4.5643 eV per atom

Unit cell a=8.216 b=8.216 c=7.525 alpha=116.93 beta=116.93 gamma=30.43
Element x y z (fractional)
Ho  0.239  0.239  0.226
Ho  0.761  0.761  0.774
Mg  0.500  0.500  0.500
Te  0.128  0.128  0.470
Te  0.384  0.384  0.060
Te  0.616  0.616  0.940
Te  0.872  0.872  0.530


## CuNiRh14 (PBE)

Data for a relaxed CuNiRh14 crystal.

* calculated total energy: -7.0095 eV per atom

Unit cell a=8.831 b=5.402 c=5.402 alpha=60.23 beta=90.00 gamma=90.00
Element x y z (fractional)
Cu  0.000  0.000  0.000
Ni  0.000  0.499  0.499
Rh  0.000  0.001  0.500
Rh  0.000  0.500  0.001
Rh  0.246  0.333  0.333
Rh  0.247  0.333  0.832
Rh  0.247  0.832  0.333
Rh  0.248  0.833  0.833
Rh  0.500  0.165  0.165
Rh  0.500  0.166  0.666
Rh  0.500  0.665  0.665
Rh  0.500  0.666  0.166
Rh  0.752  0.833  0.833
Rh  0.753  0.333  0.832
Rh  0.753  0.832  0.333
Rh  0.754  0.333  0.333


## Zr2Mn9Mo (PBE)

Data for a relaxed Zr2Mn9Mo crystal.

* calculated total energy: -9.1806 eV per atom

Unit cell a=8.439 b=8.439 c=8.439 alpha=32.98 beta=32.98 gamma=32.98
Element x y z (fractional)
Zr  0.141  0.141  0.141
Zr  0.859  0.859  0.859
Mn  0.071  0.586  0.586
Mn  0.336  0.336  0.336
Mn  0.414  0.414  0.929
Mn  0.414  0.929  0.414
Mn  0.500  0.500  0.500
Mn  0.586  0.071  0.586
Mn  0.586  0.586  0.071
Mn  0.664  0.664  0.664
Mn  0.929  0.414  0.414
Mo  0.000  0.000  0.000


## Hf2HgGe2 (PBE)

Data for a relaxed Hf2HgGe2 crystal.

* calculated total energy: -6.1354 eV per atom

Unit cell a=7.358 b=7.358 c=3.607 alpha=90.00 beta=90.00 gamma=90.00
Element x y z (fractional)
Hf  0.157  0.343  0.000
Hf  0.343  0.843  0.000
Hf  0.657  0.157  0.000
Hf  0.843  0.657  0.000
Hg  0.000  0.000  0.500
Hg  0.500  0.500  0.500
Ge  0.141  0.641  0.500
Ge  0.359  0.141  0.500
Ge  0.641  0.859  0.500
Ge  0.859  0.359  0.500


## BeCdBIrAu (PBE)

Data for a relaxed BeCdBIrAu crystal.

* offset from the most stable computed form: 0.160 eV/atom
* calculated total energy: -4.6570 eV per atom

Unit cell a=4.128 b=3.210 c=5.497 alpha=90.00 beta=91.77 gamma=90.00
Element x y z (fractional)
Be  0.000  0.000  0.000
Cd  0.012  0.500  0.467
B  0.318  0.500  0.030
Ir  0.501  0.000  0.217
Au  0.534  0.000  0.715


## Cs3NdBi2O6 (PBE)

Data for a relaxed Cs3NdBi2O6 crystal.

* calculated total energy: -5.4906 eV per atom

Unit cell a=6.560 b=6.560 c=7.978 alpha=90.00 beta=90.00 gamma=120.00
Element x y z (fractional)
Cs  0.000  0.000  0.000
Cs  0.333  0.667  0.656
Cs  0.667  0.333  0.344
Nd  0.000  0.000  0.500
Bi  0.333  0.667  0.201
Bi  0.667  0.333  0.799
O  0.170  0.341  0.323
O  0.170  0.830  0.323
O  0.341  0.170  0.677
O  0.659  0.830  0.323
O  0.830  0.170  0.677
O  0.830  0.659  0.677


## HfBTe2Mo (PBE)

Data for a relaxed HfBTe2Mo crystal.

* calculated total energy: -6.2358 eV per atom

Unit cell a=4.880 b=4.880 c=4.053 alpha=90.00 beta=90.00 gamma=90.00
Element x y z (fractional)
Hf  0.000  0.000  0.000
B  0.500  0.500  0.500
Te  0.000  0.500  0.500
Te  0.500  0.000  0.500
Mo  0.500  0.500  0.000


## RbNaV2Br (PBE)

Data for a relaxed RbNaV2Br crystal.

* calculated total energy: -2.7163 eV per atom

Unit cell a=5.648 b=5.648 c=7.332 alpha=90.00 beta=90.00 gamma=90.00
Element x y z (fractional)
Rb  0.000  0.000  0.000
Na  0.000  0.000  0.500
V  0.000  0.500  0.000
V  0.500  0.000  0.000
Br  0.500  0.500  0.500


## Ni3RuPt (PBE)

Data for a relaxed Ni3RuPt crystal.

* offset from the most stable computed form: 0.000 eV/atom
* calculated total energy: -6.5254 eV per atom

Unit cell a=4.468 b=4.555 c=6.865 alpha=109.34 beta=102.21 gamma=98.89
Element x y z (fractional)
Ni  0.240  0.402  0.054
Ni  0.243  0.008  0.244
Ni  0.248  0.596  0.452
Ni  0.752  0.404  0.548
Ni  0.757  0.992  0.756
Ni  0.760  0.598  0.946
Ru  0.257  0.804  0.857
Ru  0.743  0.196  0.143
Pt  0.261  0.206  0.654
Pt  0.739  0.794  0.346


## SmPaTl2O6 (PBE)

Data for a relaxed SmPaTl2O6 crystal.

* calculated total energy: -7.1189 eV per atom

Unit cell a=6.117 b=6.117 c=6.069 alpha=119.43 beta=119.43 gamma=62.19
Element x y z (fractional)
Sm  0.000  0.000  0.000
Pa  0.500  0.500  0.500
Tl  0.248  0.248  0.719
Tl  0.752  0.752  0.281
O  0.181  0.670  0.665
O  0.263  0.263  0.133
O  0.330  0.819  0.335
O  0.670  0.181  0.665
O  0.737  0.737  0.867
O  0.819  0.330  0.335


## PrDy4Ho3Se8 (PBE)

Data for a relaxed PrDy4Ho3Se8 crystal.

* calculated total energy: -5.7900 eV per atom

Unit cell a=8.182 b=8.182 c=8.182 alpha=60.09 beta=60.09 gamma=60.09
Element x y z (fractional)
Pr  0.000  0.000  0.000
Dy  0.000  0.000  0.500
Dy  0.000  0.500  0.000
Dy  0.500  0.000  0.000
Dy  0.500  0.500  0.500
Ho  0.000  0.500  0.500
Ho  0.500  0.000  0.500
Ho  0.500  0.500  0.000
Se  0.251  0.251  0.251
Se  0.256  0.256  0.743
Se  0.256  0.743  0.256
Se  0.257  0.744  0.744
Se  0.743  0.256  0.256
Se  0.744  0.257  0.744
Se  0.744  0.744  0.257
Se  0.749  0.749  0.749


## MgZr3Ru4 (PBE)

Data for a relaxed MgZr3Ru4 crystal.

* calculated total energy: -8.5664 eV per atom

Unit cell a=7.880 b=7.880 c=7.880 alpha=33.93 beta=33.93 gamma=33.93
Element x y z (fractional)
Mg  0.000  0.000  0.000
Zr  0.255  0.255  0.255
Zr  0.500  0.500  0.500
Zr  0.745  0.745  0.745
Ru  0.126  0.126  0.126
Ru  0.378  0.378  0.378
Ru  0.622  0.622  0.622
Ru  0.874  0.874  0.874


## TbCe2Au (PBE)

Data for a relaxed TbCe2Au crystal.

* offset from the most stable computed form: 0.186 eV/atom
* calculated total energy: -5.0032 eV per atom

Unit cell a=5.314 b=5.314 c=5.314 alpha=60.00 beta=60.00 gamma=60.00
Element x y z (fractional)
Tb  0.000  0.000  0.000
Ce  0.250  0.250  0.250
Ce  0.750  0.750  0.750
Au  0.500  0.500  0.500


## ZrReRu (PBE)

Data for a relaxed ZrReRu crystal.

* offset from the most stable computed form: 1.213 eV/atom
* calculated total energy: -9.0520 eV per atom

Unit cell a=4.375 b=4.375 c=4.375 alpha=60.00 beta=60.00 gamma=60.00
Element x y z (fractional)
Zr  0.000  0.000  0.000
Re  0.750  0.750  0.750
Ru  0.250  0.250  0.250


## Li2TlGe (PBE)

Data for a relaxed Li2TlGe crystal.

* calculated total energy: -2.7111 eV per atom

Unit cell a=9.876 b=9.876 c=9.876 alpha=155.11 beta=155.11 gamma=35.48
Element x y z (fractional)
Li  0.082  0.625  0.957
Li  0.375  0.332  0.457
Li  0.668  0.125  0.043
Li  0.875  0.918  0.543
Tl  0.250  0.750  0.500
Tl  0.500  0.500  0.000
Ge  0.000  0.000  0.000
Ge  0.750  0.250  0.500